1.
# Sr3TeAs | the Alexandria database | PBE | optimized geometry
data_Sr3TeAs
_cell_length_a 5.9236
_cell_length_b 5.9236
_cell_length_c 5.9236
_cell_angle_alpha 90.00
_cell_angle_beta 90.00
_cell_angle_gamma 90.00
_symmetry_space_group_name_H-M 'P 1'
_symmetry_Int_Tables_number 1
loop_
_symmetry_equiv_pos_as_xyz
'x,y,z'
loop_
_atom_site_label
_atom_site_type_symbol
_atom_site_fract_x
_atom_site_fract_y
_atom_site_fract_z
Sr1 Sr 0.0000 0.5000 0.0000
Sr2 Sr 0.0000 0.0000 0.5000
Sr3 Sr 0.5000 0.0000 0.0000
As1 As 0.0000 0.0000 0.0000
Te1 Te 0.5000 0.5000 0.5000
# Density of states at the Fermi level   0.619 states/eV/atom
# Spin magnetization   0.00 μB/f.u.
# Polymorph energy (0 for the lowest one)   0 meV/atom
# Uncorrected formation energy   -4.7 eV/f.u.

2.
# TaNiGe2 | the Alexandria database | PBE | optimized geometry
data_TaNiGe2
_cell_length_a 2.9299
_cell_length_b 2.9299
_cell_length_c 9.1995
_cell_angle_alpha 80.84
_cell_angle_beta 80.84
_cell_angle_gamma 60.00
_symmetry_space_group_name_H-M 'P 1'
_symmetry_Int_Tables_number 1
loop_
_symmetry_equiv_pos_as_xyz
'x,y,z'
loop_
_atom_site_label
_atom_site_type_symbol
_atom_site_fract_x
_atom_site_fract_y
_atom_site_fract_z
Ni1 Ni 0.0000 0.0000 0.0000
Ge1 Ge 0.0844 0.0844 0.7468
Ge2 Ge 0.9156 0.9156 0.2532
Ta1 Ta 0.5000 0.5000 0.5000
# Density of states at the Fermi level   0.551 states/eV/atom
# Spin magnetization   0.00 μB/f.u.
# Formation enthalpy at 0 K   12.8 kJ/mol of atoms